## Sb2RuCI (GGA-PBE)

Data for an optimized crystal structure of Sb2RuCI.

The structure belongs to space group P4/mmm (No. 123); the cell edges are 5.029, 5.029 and 5.678 Å and the angles 90.00°, 90.00° and 90.00°. The asymmetric unit holds Sb at (0.000, 0.500, 0.000), Ru at (0.000, 0.000, 0.000), C at (0.500, 0.500, 0.500) and I at (0.000, 0.000, 0.500).

The total magnetic moment comes out at 1.46 μB/f.u. The calculation puts the offset from the most stable computed form at 0.254 eV/atom. As for the energy: -3.972 eV per atom.

## BeGa3Ir (GGA-PBE)

Data for an optimized crystal structure of BeGa3Ir.

The structure belongs to space group Pm-3m (No. 221); the cell edges are 4.285, 4.285 and 4.285 Å and the angles 90.00°, 90.00° and 90.00°. The asymmetric unit holds Be at (0.000, 0.000, 0.000), Ga at (0.000, 0.000, 0.500) and Ir at (0.500, 0.500, 0.500).

The total magnetic moment comes out at 0.00 μB/f.u. The calculation puts the offset from the most stable computed form at 0.255 eV/atom. As for the energy: -3.754 eV per atom.

## Tm5TlGa4 (GGA-PBE)

Data for an optimized crystal structure of Tm5TlGa4.

The structure belongs to space group P4/mmm (No. 123); the cell edges are 3.528, 3.528 and 18.312 Å and the angles 90.00°, 90.00° and 90.00°. The asymmetric unit holds Tm at (0.000, 0.000, 0.000), Tm at (0.000, 0.000, 0.191), Tm at (0.000, 0.000, 0.386), Tl at (0.500, 0.500, 0.500), Ga at (0.500, 0.500, 0.095) and Ga at (0.500, 0.500, 0.289).

The total magnetic moment comes out at 0.00 μB/f.u. As for the energy: -4.195 eV per atom.

## SrLiZr2 (GGA-PBE)

Data for an optimized crystal structure of SrLiZr2.

The structure belongs to space group Cmmm (No. 65); the cell edges are 5.876, 11.426 and 3.165 Å and the angles 90.00°, 90.00° and 90.00°. The asymmetric unit holds Sr at (0.000, 0.000, 0.000), Li at (0.000, 0.500, 0.000) and Zr at (0.250, 0.250, 0.500).

The total magnetic moment comes out at 0.00 μB/f.u. The calculation puts the offset from the most stable computed form at 0.328 eV/atom. As for the energy: -4.588 eV per atom.

## CsLaHRhS (GGA-PBE)

Data for an optimized crystal structure of CsLaHRhS.

The structure belongs to space group Pm (No. 6); the cell edges are 4.261, 3.951 and 7.880 Å and the angles 90.00°, 98.29° and 90.00°. The asymmetric unit holds Cs at (0.000, 0.000, 0.000), La at (0.574, 0.000, 0.508), H at (0.830, 0.500, 0.291), Rh at (0.055, 0.500, 0.484) and S at (0.422, 0.500, 0.754).

The total magnetic moment comes out at 0.00 μB/f.u. The calculation puts the offset from the most stable computed form at 0.049 eV/atom. As for the energy: -5.015 eV per atom.

## Na2MgP2 (GGA-PBE)

Data for an optimized crystal structure of Na2MgP2.

The structure belongs to space group P4/mbm (No. 127); the cell edges are 6.640, 6.640 and 4.694 Å and the angles 90.00°, 90.00° and 90.00°. The asymmetric unit holds Na at (0.170, 0.330, 0.000), Mg at (0.000, 0.000, 0.500) and P at (0.120, 0.620, 0.500).

The total magnetic moment comes out at 0.00 μB/f.u. As for the energy: -3.397 eV per atom.

## CaCd2GaO4 (GGA-PBE)

Data for an optimized crystal structure of CaCd2GaO4.

The structure belongs to space group I-42m (No. 121); the cell edges are 5.090, 5.090 and 9.950 Å and the angles 90.00°, 90.00° and 90.00°. The asymmetric unit holds Ca at (0.000, 0.000, 0.000), Cd at (0.000, 0.500, 0.250), Ga at (0.000, 0.000, 0.500) and O at (0.219, 0.219, 0.392).

The total magnetic moment comes out at 0.00 μB/f.u. As for the energy: -4.972 eV per atom.

## Y3Zn9Cu2 (GGA-PBE)

Data for an optimized crystal structure of Y3Zn9Cu2.

The structure belongs to space group Immm (No. 71); the cell edges are 4.340, 8.871 and 12.801 Å and the angles 90.00°, 90.00° and 90.00°. The asymmetric unit holds Y at (0.000, 0.000, 0.000), Y at (0.000, 0.000, 0.298), Zn at (0.000, 0.283, 0.132), Zn at (0.000, 0.359, 0.342), Zn at (0.000, 0.500, 0.000) and Cu at (0.000, 0.182, 0.500).

The total magnetic moment comes out at 0.00 μB/f.u. As for the energy: -3.103 eV per atom.